Compound: TiGa2Ru
Source: Alexandria via LeMat-Bulk
Functional: PBE-GGA
Structure: optimized geometry

Cell: 7.022 7.022 5.629 Å, 51.41 51.41 90.00°
Fractional positions:
Ga: 0.109 0.625 0.250
Ga: 0.641 0.125 0.250
Ga: 0.375 0.359 0.750
Ga: 0.875 0.891 0.750
Ti: 0.250 0.750 0.500
Ti: 0.500 0.500 0.000
Ru: 0.000 0.000 0.000
Ru: 0.750 0.250 0.500

Output
- spin magnetization (μB/cell) = 0.00
- energy (eV per atom) = -5.835
- space group = No. 122